1.
SrTeIN2: optimized geometry, PBE.

Structure (POSCAR):
```
SrTeIN2
1.0
4.906 0.000 0.000
0.000 4.906 0.000
0.000 0.000 6.921
I Sr Te N
1 1 1 2
Direct
0.500 0.500 0.500
0.000 0.000 0.000
0.000 0.000 0.500
0.000 0.500 0.000
0.500 0.000 0.000
```

Results
Raw formation energy ... 115.45 kJ per mole of atoms
V ... 33.31 A^3/atom
M_tot ... 4.61 μB/cell
Total energy ... -0.251 Ry/atom


2.
SrTe2IN: optimized geometry, PBE.

Structure (POSCAR):
```
SrTe2IN
1.0
6.497 0.000 0.000
0.000 6.497 0.000
0.000 0.000 4.920
I Sr Te N
1 1 2 1
Direct
0.500 0.500 0.500
0.000 0.000 0.000
0.000 0.500 0.000
0.500 0.000 0.000
0.000 0.000 0.500
```

Results
Raw formation energy ... 73.11 kJ per mole of atoms
V ... 41.54 A^3/atom
M_tot ... 5.04 μB/cell
Total energy ... -0.207 Ry/atom


3.
SrTeIN2: optimized geometry, PBE.

Structure (POSCAR):
```
SrTeIN2
1.0
4.370 0.000 0.000
0.000 4.370 0.000
0.000 0.000 6.232
I Sr Te N
1 1 1 2
Direct
0.000 0.000 0.500
0.500 0.500 0.500
0.000 0.000 0.000
0.000 0.500 0.000
0.500 0.000 0.000
```

Results
Raw formation energy ... 70.80 kJ per mole of atoms
V ... 23.80 A^3/atom
M_tot ... 0.57 μB/cell
Total energy ... -0.285 Ry/atom


4.
Sr2ThI2N2: optimized geometry, PBE.

Structure (POSCAR):
```
Sr2ThI2N2
1.0
-1.365 3.439 2.846
-2.058 -3.126 2.790
10.000 -1.076 2.267
Sr Th I N
2 1 2 2
Direct
0.415 0.415 0.830
0.585 0.585 0.170
0.000 0.000 0.000
0.169 0.169 0.339
0.831 0.831 0.661
0.000 0.500 0.000
0.500 0.000 0.000
```

Results
Raw formation energy ... -131.84 kJ per mole of atoms
V ... 30.40 A^3/atom
M_tot ... 0.00 μB/cell
Total energy ... -0.421 Ry/atom


5.
SrTiI2N: optimized geometry, PBE.

Structure (POSCAR):
```
SrTiI2N
1.0
5.834 0.000 0.000
0.000 5.834 0.000
0.000 0.000 3.898
I Sr N Ti
2 1 1 1
Direct
0.000 0.500 0.000
0.500 0.000 0.000
0.500 0.500 0.500
0.000 0.000 0.500
0.000 0.000 0.000
```

Results
Raw formation energy ... -69.02 kJ per mole of atoms
V ... 26.54 A^3/atom
M_tot ... 0.70 μB/cell
Total energy ... -0.361 Ry/atom


6.
SrTiIN2: optimized geometry, PBE.

Structure (POSCAR):
```
SrTiIN2
1.0
-1.276 4.199 -0.751
-3.760 -0.737 2.268
2.748 1.752 5.126
I Sr N Ti
1 1 2 1
Direct
0.000 0.000 0.500
0.000 0.000 0.000
0.000 0.500 0.000
0.500 0.000 0.000
0.500 0.500 0.500
```

Results
Raw formation energy ... 156.22 kJ per mole of atoms
V ... 24.09 A^3/atom
M_tot ... 0.36 μB/cell
Total energy ... -0.289 Ry/atom